(1)
InReS2: optimized geometry, PBEsol.

Geometry as POSCAR:
```
InReS2
1.0
3.126 0.000 0.000
1.563 2.707 0.000
1.563 0.902 8.957
Re S In
1 2 1
Cartesian
3.126 1.805 4.479
4.689 2.707 2.890
1.563 0.902 6.067
0.000 0.000 0.000
```

Total moment   0.000 μB per atom
Raw total energy   -25.934 eV per cell
Space group   R-3m

---

(2)
MgAg2Au: optimized geometry, PBEsol.

Geometry as POSCAR:
```
MgAg2Au
1.0
-1.036 -3.790 1.211
3.564 -0.328 2.020
-2.979 3.571 1.663
Mg Au Ag
1 1 2
Cartesian
0.925 0.592 2.650
-1.714 1.512 3.279
3.564 -0.328 2.021
-1.376 -1.139 2.245
```

Total moment   0.000 μB per atom
Raw total energy   -13.405 eV per cell
ΔE_f   -0.285 eV per atom
Space group   I-4m2

---

(3)
Li3TeF: optimized geometry, PBEsol.

Geometry as POSCAR:
```
Li3TeF
1.0
4.162 0.000 0.000
0.000 4.162 0.000
0.000 0.000 4.162
F Te Li
1 1 3
Cartesian
0.000 0.000 0.000
2.081 2.081 2.081
0.000 2.081 0.000
0.000 0.000 2.081
2.081 0.000 0.000
```

Total moment   0.000 μB per atom
Raw total energy   -20.182 eV per cell
Space group   Pm-3m

---

(4)
KInFeBr2: optimized geometry, PBEsol.

Geometry as POSCAR:
```
KInFeBr2
1.0
-0.407 -4.885 -2.982
2.787 -2.780 4.174
-5.352 -1.234 2.752
K Fe Br In
1 1 2 1
Cartesian
0.000 0.000 0.000
-1.486 -4.449 1.972
1.393 -1.390 2.087
-0.204 -2.442 -1.491
-2.676 -0.617 1.376
```

Total moment   0.800 μB per atom
Raw total energy   -13.850 eV per cell
Space group   P4/mmm

---

(5)
NiPb2Br: optimized geometry, PBEsol.

Geometry as POSCAR:
```
NiPb2Br
1.0
3.285 -0.026 -0.026
1.246 5.370 -0.062
1.246 -0.141 5.369
Br Ni Pb
1 1 2
Cartesian
1.643 -0.013 -0.013
2.889 2.602 2.640
0.623 -0.071 2.684
0.623 2.685 -0.031
```

Total moment   0.000 μB per atom
Raw total energy   -15.265 eV per cell
Space group   C2/m

---

(6)
BaAgPCl2: optimized geometry, PBEsol.

Geometry as POSCAR:
```
BaAgPCl2
1.0
-4.649 -3.326 0.897
3.218 -3.655 3.125
-1.350 3.303 5.253
P Ba Ag Cl
1 1 1 2
Cartesian
-0.675 1.651 2.626
0.000 0.000 0.000
-1.390 -1.839 4.637
1.609 -1.827 1.563
-2.324 -1.663 0.448
```

Total moment   0.400 μB per atom
Raw total energy   -15.650 eV per cell
Space group   P4/mmm

---

(7)
ZnNiAu2: optimized geometry, PBEsol.

Geometry as POSCAR:
```
ZnNiAu2
1.0
-0.950 -2.700 0.351
2.373 -0.514 2.471
-3.743 1.834 3.975
Ni Zn Au
1 1 2
Cartesian
-1.160 -0.690 3.399
0.711 -1.607 1.411
-0.958 0.469 1.017
-2.785 1.365 2.958
```

Total moment   0.000 μB per atom
Raw total energy   -15.952 eV per cell
ΔE_f   -0.091 eV per atom
Space group   Pmmm

---

(8)
Cd2InCI: optimized geometry, PBEsol.

Geometry as POSCAR:
```
Cd2InCI
1.0
-3.953 -2.699 -3.533
1.449 -5.252 2.391
-4.595 0.797 4.533
I C Cd In
1 1 2 1
Cartesian
0.000 0.000 0.000
-3.550 -3.577 1.696
0.724 -2.626 1.196
-1.977 -1.350 -1.766
-2.297 0.398 2.267
```

Total moment   0.556 μB per atom
Raw total energy   -6.925 eV per cell
Space group   P4/mmm